Density functional theory data (GGA-PBEsol) for crystalline RuPtRh2 at its relaxed geometry.

Output
symmetry	C2/m, No. 12
calculated density	15.14	g/cm³
formation enthalpy at 0 K	-0.01	eV/atom
polymorph energy (0 for the lowest one)	27.2	meV per atom

a b c (Å): 2.6813 4.6633 4.6680
angles (deg): 99.51 90.00 106.71
Last column: nearest neighbours and their distance in Å.
Sites, in units of the cell vectors:
Rh: 0.2533 0.5067 0.2577  6 Rh 2.64-2.75, 3 Ru 2.66-2.70, 3 Pt 2.69-2.73
Rh: 0.7467 0.4933 0.7423  6 Rh 2.64-2.75, 3 Ru 2.66-2.70, 3 Pt 2.69-2.73
Pt: 0.5000 0.0000 0.0000  2 Pt 2.68, 6 Rh 2.69-2.73, 4 Ru 2.69
Ru: 0.0000 0.0000 0.5000  6 Rh 2.66-2.70, 2 Ru 2.68, 4 Pt 2.69



Density functional theory data (GGA-PBEsol) for crystalline Ru2PtRh at its relaxed geometry.

Output
symmetry	Cm, No. 8
calculated density	15.13	g/cm³
formation enthalpy at 0 K	0.03	eV/atom
polymorph energy (0 for the lowest one)	28.4	meV per atom

a b c (Å): 2.6755 4.6602 4.6646
angles (deg): 99.35 90.00 106.68
Last column: nearest neighbours and their distance in Å.
Sites, in units of the cell vectors:
Ru: 0.0019 0.0038 0.0048  5 Ru 2.63-2.69, 4 Pt 2.67-2.71, 3 Rh 2.68-2.69
Ru: 0.7462 0.4924 0.2392  4 Rh 2.63-2.75, 5 Ru 2.63-2.69, 3 Pt 2.70-2.72
Pt: 0.4987 0.9975 0.4994  7 Ru 2.67-2.72, 3 Rh 2.67-2.73, 2 Pt 2.68
Rh: 0.2532 0.5063 0.7565  7 Ru 2.63-2.75, 3 Pt 2.67-2.73, 2 Rh 2.68



Density functional theory data (GGA-PBEsol) for crystalline RuPtRh2 at its relaxed geometry.

Output
symmetry	P4/mmm, No. 123
calculated density	15.13	g/cm³
formation enthalpy at 0 K	-0.04	eV/atom
polymorph energy (0 for the lowest one)	0.0	meV per atom

a b c (Å): 2.6854 2.6854 7.6381
angles (deg): 90.00 90.00 90.00
Last column: nearest neighbours and their distance in Å.
Sites, in units of the cell vectors:
Pt: 0.5000 0.5000 0.5000  4 Pt 2.69, 8 Rh 2.75
Rh: 0.0000 0.0000 0.7608  4 Ru 2.64, 4 Rh 2.69, 4 Pt 2.75
Rh: 0.0000 0.0000 0.2392  4 Ru 2.64, 4 Rh 2.69, 4 Pt 2.75
Ru: 0.5000 0.5000 0.0000  8 Rh 2.64, 4 Ru 2.69



Density functional theory data (GGA-PBEsol) for crystalline RuPtRh2 at its relaxed geometry.

Output
symmetry	Pmm2, No. 25
calculated density	15.14	g/cm³
formation enthalpy at 0 K	0.00	eV/atom
polymorph energy (0 for the lowest one)	39.2	meV per atom

a b c (Å): 2.6853 3.8069 5.3870
angles (deg): 90.00 90.00 90.00
Last column: nearest neighbours and their distance in Å.
Sites, in units of the cell vectors:
Rh: 0.5000 0.5000 0.2551  2 Pt 2.65-2.73, 4 Ru 2.66, 6 Rh 2.69
Rh: 0.0000 0.0000 0.0040  2 Ru 2.64-2.75, 6 Rh 2.69, 4 Pt 2.71
Pt: 0.5000 0.5000 0.7475  6 Rh 2.65-2.73, 2 Pt 2.69, 4 Ru 2.70
Ru: 0.0000 0.0000 0.4935  6 Rh 2.64-2.75, 2 Ru 2.69, 4 Pt 2.70



Density functional theory data (GGA-PBEsol) for crystalline RuPtRh2 at its relaxed geometry.

Output
symmetry	R-3m, No. 166
calculated density	15.10	g/cm³
formation enthalpy at 0 K	-0.02	eV/atom
polymorph energy (0 for the lowest one)	16.4	meV per atom

a b c (Å): 2.6872 2.6872 8.9599
angles (deg): 81.38 81.38 60.00
Last column: nearest neighbours and their distance in Å.
Sites, in units of the cell vectors:
Pt: 0.0000 0.0000 0.0000  6 Pt 2.69, 6 Rh 2.77
Rh: 0.7533 0.7533 0.7400  3 Ru 2.63, 6 Rh 2.69, 3 Pt 2.77
Rh: 0.2467 0.2467 0.2600  3 Ru 2.63, 6 Rh 2.69, 3 Pt 2.77
Ru: 0.5000 0.5000 0.5000  6 Rh 2.63, 6 Ru 2.69



Density functional theory data (GGA-PBEsol) for crystalline Ru2PtRh at its relaxed geometry.

Output
symmetry	F-43m, No. 216
calculated density	14.61	g/cm³
formation enthalpy at 0 K	0.46	eV/atom
polymorph energy (0 for the lowest one)	465.4	meV per atom

a b c (Å): 4.3163 4.3163 4.3163
angles (deg): 60.00 60.00 60.00
Last column: nearest neighbours and their distance in Å.
Sites, in units of the cell vectors:
Rh: 0.2500 0.2500 0.2500  4 Pt 2.64, 4 Ru 2.64
Ru: 0.0000 0.0000 0.0000  4 Rh 2.64, 4 Ru 2.64
Ru: 0.7500 0.7500 0.7500  4 Ru 2.64, 4 Pt 2.64
Pt: 0.5000 0.5000 0.5000  4 Ru 2.64, 4 Rh 2.64